Entry 1:
Density functional theory data (PBE-GGA) for a geometry-optimized ScPbCl2 structure.

Crystal system: monoclinic

Lattice parameters (Å, degrees): 3.730 4.576 5.696 90.00 92.92 90.00
Space group P2/m (No. 10)
Inequivalent atoms, fractional coordinates:
Sc (0.000, 0.000, 0.000) x1
Pb (0.500, 0.000, 0.500) x1
Cl (0.172, 0.500, 0.773) x2

---

Entry 2:
Density functional theory data (PBE-GGA) for a geometry-optimized ScPbCl2 structure.

Crystal system: orthorhombic

Lattice parameters (Å, degrees): 3.304 3.317 22.383 90.00 90.00 90.00
Space group Imm2 (No. 44)
Inequivalent atoms, fractional coordinates:
Sc (0.000, 0.000, 0.000) x2
Pb (0.000, 0.500, 0.241) x2
Cl (0.000, 0.000, 0.558) x2
Cl (0.000, 0.500, 0.918) x2

---

Entry 3:
Density functional theory data (PBE-GGA) for a geometry-optimized ScPbCl2 structure.

Crystal system: cubic

Lattice parameters (Å, degrees): 7.370 7.370 7.370 90.00 90.00 90.00
Space group F-43m (No. 216)
Inequivalent atoms, fractional coordinates:
Sc (0.000, 0.000, 0.000) x4
Pb (0.250, 0.250, 0.250) x4
Cl (0.000, 0.000, 0.500) x4
Cl (0.250, 0.250, 0.750) x4

---

Entry 4:
Density functional theory data (PBE-GGA) for a geometry-optimized ScPbCl2 structure.

Crystal system: tetragonal

Lattice parameters (Å, degrees): 3.666 3.666 7.163 90.00 90.00 90.00
Space group P4mm (No. 99)
Inequivalent atoms, fractional coordinates:
Sc (0.000, 0.000, 0.000) x1
Pb (0.500, 0.500, 0.664) x1
Cl (0.000, 0.000, 0.350) x1
Cl (0.500, 0.500, 0.077) x1

---

Entry 5:
Density functional theory data (PBE-GGA) for a geometry-optimized ScPb2Cl structure.

Crystal system: trigonal

Lattice parameters (Å, degrees): 3.5910 3.5910 28.8243 90.00 90.00 120.00
Space group R-3m (No. 166, hexagonal axes)
Inequivalent atoms, fractional coordinates:
Sc (0.0000, 0.0000, 0.0000) x3
Pb (0.0000, 0.0000, 0.2488) x6
Cl (0.0000, 0.0000, 0.5000) x3

---

Entry 6:
Density functional theory data (PBE-GGA) for a geometry-optimized Sc2PbCl structure.

Crystal system: monoclinic

Lattice parameters (Å, degrees): 7.449 7.550 3.302 90.00 99.50 90.00
Space group C2/m (No. 12)
Inequivalent atoms, fractional coordinates:
Sc (0.250, 0.250, 0.000) x4
Pb (0.000, 0.000, 0.500) x2
Cl (0.000, 0.500, 0.500) x2

---

Entry 7:
Density functional theory data (PBE-GGA) for a geometry-optimized ScPbCl3 structure.

Crystal system: cubic

Lattice parameters (Å, degrees): 5.083 5.083 5.083 90.00 90.00 90.00
Space group Pm-3m (No. 221)
Inequivalent atoms, fractional coordinates:
Sc (0.000, 0.000, 0.000) x1
Pb (0.500, 0.500, 0.500) x1
Cl (0.000, 0.000, 0.500) x3

---

Entry 8:
Density functional theory data (PBE-GGA) for a geometry-optimized Sc2PbCl structure.

Crystal system: monoclinic

Lattice parameters (Å, degrees): 3.445 3.681 7.298 90.00 90.11 90.00
Space group P2/m (No. 10)
Inequivalent atoms, fractional coordinates:
Sc (0.001, 0.000, 0.256) x2
Pb (0.500, 0.500, 0.000) x1
Cl (0.000, 0.500, 0.500) x1

---

Entry 9:
Density functional theory data (PBE-GGA) for a geometry-optimized ScPbCl2 structure.

Crystal system: monoclinic

Lattice parameters (Å, degrees): 11.277 3.463 5.882 90.00 115.35 90.00
Space group Cm (No. 8)
Inequivalent atoms, fractional coordinates:
Sc (0.000, 0.000, 0.000) x2
Pb (0.225, 0.500, 0.461) x2
Cl (0.056, 0.500, 0.741) x2
Cl (0.361, 0.000, 0.094) x2

---

Entry 10:
Density functional theory data (PBE-GGA) for a geometry-optimized ScPbCl2 structure.

Crystal system: tetragonal

Lattice parameters (Å, degrees): 4.548 4.548 4.573 90.00 90.00 90.00
Space group P4/mmm (No. 123)
Inequivalent atoms, fractional coordinates:
Sc (0.000, 0.000, 0.000) x1
Pb (0.500, 0.500, 0.000) x1
Cl (0.000, 0.500, 0.500) x2

---

Entry 11:
Density functional theory data (PBE-GGA) for a geometry-optimized Sc2PbCl structure.

Crystal system: tetragonal

Lattice parameters (Å, degrees): 4.149 4.149 11.017 90.00 90.00 90.00
Space group I-4m2 (No. 119)
Inequivalent atoms, fractional coordinates:
Sc (0.000, 0.000, 0.000) x2
Sc (0.000, 0.500, 0.250) x2
Pb (0.000, 0.000, 0.500) x2
Cl (0.000, 0.500, 0.750) x2

---

Entry 12:
Density functional theory data (PBE-GGA) for a geometry-optimized ScPbCl structure.

Crystal system: trigonal

Lattice parameters (Å, degrees): 3.5405 3.5405 7.8087 90.00 90.00 120.00
Space group P3m1 (No. 156)
Inequivalent atoms, fractional coordinates:
Sc (0.0000, 0.0000, 0.0000) x1
Pb (0.6667, 0.3333, 0.6887) x1
Cl (0.3333, 0.6667, 0.2023) x1

---

Taking the records one at a time from the top gives ΔE_f (raw) values of -0.91; -1.12; -0.36; -1.04; -0.20; -0.58; -1.15; -0.72; -1.15; -0.62; -0.41; -0.96 eV per atom.